1.
# MnAsPI2 (PBE, optimized geometry)
data_MnAsPI2
_chemical_formula_sum 'Mn1 As1 P1 I2'
_symmetry_space_group_name_H-M 'P 1'
_symmetry_Int_Tables_number 1
_symmetry_space_group_name_Hall 'P 1'
_cell_length_a 5.634
_cell_length_b 5.634
_cell_length_c 4.569
_cell_angle_alpha 90.00
_cell_angle_beta 90.00
_cell_angle_gamma 90.00
loop_
_atom_site_label
_atom_site_type_symbol
_atom_site_fract_x
_atom_site_fract_y
_atom_site_fract_z
_atom_site_occupancy
Mn1 Mn 0.000 0.000 0.000 1
As1 As 0.500 0.500 0.000 1
P1 P 0.000 0.000 0.500 1
I1 I 0.000 0.500 0.500 1
I2 I 0.500 0.000 0.500 1
# Formation energy (no corrections), eV/atom: 0.750
# Theoretical density, Mg/m³: 4.7
# Symmetry: No. 123
# E_tot, eV per atom: -3.72

---

2.
# SrCrC3 (PBE, optimized geometry)
data_SrCrC3
_chemical_formula_sum 'Sr1 Cr1 C3'
_symmetry_space_group_name_H-M 'P 1'
_symmetry_Int_Tables_number 1
_symmetry_space_group_name_Hall 'P 1'
_cell_length_a 3.938
_cell_length_b 3.938
_cell_length_c 3.938
_cell_angle_alpha 90.00
_cell_angle_beta 90.00
_cell_angle_gamma 90.00
loop_
_atom_site_label
_atom_site_type_symbol
_atom_site_fract_x
_atom_site_fract_y
_atom_site_fract_z
_atom_site_occupancy
Sr1 Sr 0.000 0.000 0.000 1
Cr1 Cr 0.500 0.500 0.500 1
C1 C 0.000 0.500 0.500 1
C2 C 0.500 0.000 0.500 1
C3 C 0.500 0.500 0.000 1
# DFT formation energy, eV/atom: 0.98
# Energy above the most stable polymorph in this dataset, meV per atom: 0
# Theoretical density, Mg/m³: 4.8
# Symmetry: No. 221
# E_tot, eV per atom: -6.81

---

3.
# PuV2Si (PBE, optimized geometry)
data_PuV2Si
_chemical_formula_sum 'Pu1 V2 Si1'
_symmetry_space_group_name_H-M 'P 1'
_symmetry_Int_Tables_number 1
_symmetry_space_group_name_Hall 'P 1'
_cell_length_a 4.394
_cell_length_b 4.394
_cell_length_c 4.394
_cell_angle_alpha 60.00
_cell_angle_beta 60.00
_cell_angle_gamma 60.00
loop_
_atom_site_label
_atom_site_type_symbol
_atom_site_fract_x
_atom_site_fract_y
_atom_site_fract_z
_atom_site_occupancy
Pu1 Pu 0.000 0.000 0.000 1
V1 V 0.250 0.250 0.250 1
V2 V 0.750 0.750 0.750 1
Si1 Si 0.500 0.500 0.500 1
# Energy above the most stable polymorph in this dataset, meV per atom: 0
# Formation energy (no corrections), eV/atom: -0.121
# Theoretical density, Mg/m³: 10.4
# Symmetry: No. 225
# E_tot, eV per atom: -9.62

---

4.
# LiNdScBe (PBE, optimized geometry)
data_LiNdScBe
_chemical_formula_sum 'Li1 Nd1 Sc1 Be1'
_symmetry_space_group_name_H-M 'P 1'
_symmetry_Int_Tables_number 1
_symmetry_space_group_name_Hall 'P 1'
_cell_length_a 4.922
_cell_length_b 4.922
_cell_length_c 4.922
_cell_angle_alpha 60.00
_cell_angle_beta 60.00
_cell_angle_gamma 60.00
loop_
_atom_site_label
_atom_site_type_symbol
_atom_site_fract_x
_atom_site_fract_y
_atom_site_fract_z
_atom_site_occupancy
Li1 Li 0.000 0.000 0.000 1
Nd1 Nd 0.250 0.250 0.250 1
Sc1 Sc 0.750 0.750 0.750 1
Be1 Be 0.500 0.500 0.500 1
# DFT formation energy, eV/atom: 0.16
# Theoretical density, Mg/m³: 4.0
# Symmetry: No. 216
# E_tot, eV per atom: -4.03

---

5.
# ZnGaW (PBE, optimized geometry)
data_ZnGaW
_chemical_formula_sum 'Zn2 Ga2 W2'
_symmetry_space_group_name_H-M 'P 1'
_symmetry_Int_Tables_number 1
_symmetry_space_group_name_Hall 'P 1'
_cell_length_a 7.157
_cell_length_b 7.157
_cell_length_c 7.157
_cell_angle_alpha 33.45
_cell_angle_beta 33.45
_cell_angle_gamma 33.45
loop_
_atom_site_label
_atom_site_type_symbol
_atom_site_fract_x
_atom_site_fract_y
_atom_site_fract_z
_atom_site_occupancy
Zn1 Zn 0.141 0.141 0.141 1
Zn2 Zn 0.859 0.859 0.859 1
Ga1 Ga 0.428 0.428 0.428 1
Ga2 Ga 0.572 0.572 0.572 1
W1 W 0.299 0.299 0.299 1
W2 W 0.701 0.701 0.701 1
# DFT formation energy, eV/atom: 0.49
# Energy above the most stable polymorph in this dataset, meV per atom: 235
# Theoretical density, Mg/m³: 10.7
# Symmetry: No. 166
# E_tot, eV per atom: -5.27

---

6.
# La2Cu3Ni12Rh (PBE, optimized geometry)
data_La2Cu3Ni12Rh
_chemical_formula_sum 'La2 Cu3 Ni12 Rh1'
_symmetry_space_group_name_H-M 'P 1'
_symmetry_Int_Tables_number 1
_symmetry_space_group_name_Hall 'P 1'
_cell_length_a 9.513
_cell_length_b 9.513
_cell_length_c 9.513
_cell_angle_alpha 36.29
_cell_angle_beta 36.29
_cell_angle_gamma 36.29
loop_
_atom_site_label
_atom_site_type_symbol
_atom_site_fract_x
_atom_site_fract_y
_atom_site_fract_z
_atom_site_occupancy
La1 La 0.152 0.152 0.152 1
La2 La 0.848 0.848 0.848 1
Cu1 Cu 0.000 0.500 0.500 1
Cu2 Cu 0.500 0.000 0.500 1
Cu3 Cu 0.500 0.500 0.000 1
Ni1 Ni 0.081 0.081 0.689 1
Ni2 Ni 0.081 0.689 0.081 1
Ni3 Ni 0.148 0.565 0.565 1
Ni4 Ni 0.311 0.919 0.919 1
Ni5 Ni 0.435 0.435 0.852 1
Ni6 Ni 0.435 0.852 0.435 1
Ni7 Ni 0.565 0.148 0.565 1
Ni8 Ni 0.565 0.565 0.148 1
Ni9 Ni 0.689 0.081 0.081 1
Ni10 Ni 0.852 0.435 0.435 1
Ni11 Ni 0.919 0.311 0.919 1
Ni12 Ni 0.919 0.919 0.311 1
Rh1 Rh 0.500 0.500 0.500 1
# DFT formation energy, eV/atom: 0.22
# Theoretical density, Mg/m³: 7.8
# Symmetry: No. 166
# E_tot, eV per atom: -5.28

---

7.
# Mn2BeCuBi (PBE, optimized geometry)
data_Mn2BeCuBi
_chemical_formula_sum 'Mn2 Be1 Cu1 Bi1'
_symmetry_space_group_name_H-M 'P 1'
_symmetry_Int_Tables_number 1
_symmetry_space_group_name_Hall 'P 1'
_cell_length_a 4.335
_cell_length_b 4.335
_cell_length_c 4.255
_cell_angle_alpha 90.00
_cell_angle_beta 90.00
_cell_angle_gamma 90.00
loop_
_atom_site_label
_atom_site_type_symbol
_atom_site_fract_x
_atom_site_fract_y
_atom_site_fract_z
_atom_site_occupancy
Mn1 Mn 0.000 0.500 0.000 1
Mn2 Mn 0.500 0.000 0.000 1
Be1 Be 0.000 0.000 0.000 1
Cu1 Cu 0.000 0.000 0.500 1
Bi1 Bi 0.500 0.500 0.500 1
# DFT formation energy, eV/atom: 0.40
# Theoretical density, Mg/m³: 8.1
# Symmetry: No. 123
# E_tot, eV per atom: -5.61

---

8.
# Cs2AcTe3 (PBE, optimized geometry)
data_Cs2AcTe3
_chemical_formula_sum 'Cs2 Ac1 Te3'
_symmetry_space_group_name_H-M 'P 1'
_symmetry_Int_Tables_number 1
_symmetry_space_group_name_Hall 'P 1'
_cell_length_a 9.625
_cell_length_b 9.625
_cell_length_c 9.625
_cell_angle_alpha 151.02
_cell_angle_beta 136.47
_cell_angle_gamma 53.14
loop_
_atom_site_label
_atom_site_type_symbol
_atom_site_fract_x
_atom_site_fract_y
_atom_site_fract_z
_atom_site_occupancy
Cs1 Cs 0.184 0.184 0.000 1
Cs2 Cs 0.816 0.816 0.000 1
Ac1 Ac 0.500 0.500 0.000 1
Te1 Te 0.000 0.500 0.500 1
Te2 Te 0.368 0.868 0.500 1
Te3 Te 0.632 0.132 0.500 1
# Formation energy (no corrections), eV/atom: -1.120
# Theoretical density, Mg/m³: 4.9
# Symmetry: No. 71
# E_tot, eV per atom: -3.66

---

9.
# Zr3TiS (PBE, optimized geometry)
data_Zr3TiS
_chemical_formula_sum 'Zr3 Ti1 S1'
_symmetry_space_group_name_H-M 'P 1'
_symmetry_Int_Tables_number 1
_symmetry_space_group_name_Hall 'P 1'
_cell_length_a 4.820
_cell_length_b 4.820
_cell_length_c 4.820
_cell_angle_alpha 90.00
_cell_angle_beta 90.00
_cell_angle_gamma 90.00
loop_
_atom_site_label
_atom_site_type_symbol
_atom_site_fract_x
_atom_site_fract_y
_atom_site_fract_z
_atom_site_occupancy
Zr1 Zr 0.000 0.000 0.500 1
Zr2 Zr 0.000 0.500 0.000 1
Zr3 Zr 0.500 0.000 0.000 1
Ti1 Ti 0.500 0.500 0.500 1
S1 S 0.000 0.000 0.000 1
# Energy above the most stable polymorph in this dataset, meV per atom: 164
# Formation energy (no corrections), eV/atom: -0.354
# Theoretical density, Mg/m³: 5.2
# Symmetry: No. 221
# E_tot, eV per atom: -7.89

---

10.
# CoNi3Sb (PBE, optimized geometry)
data_CoNi3Sb
_chemical_formula_sum 'Co1 Ni3 Sb1'
_symmetry_space_group_name_H-M 'P 1'
_symmetry_Int_Tables_number 1
_symmetry_space_group_name_Hall 'P 1'
_cell_length_a 4.311
_cell_length_b 4.311
_cell_length_c 4.311
_cell_angle_alpha 90.00
_cell_angle_beta 90.00
_cell_angle_gamma 90.00
loop_
_atom_site_label
_atom_site_type_symbol
_atom_site_fract_x
_atom_site_fract_y
_atom_site_fract_z
_atom_site_occupancy
Co1 Co 0.000 0.000 0.000 1
Ni1 Ni 0.000 0.000 0.500 1
Ni2 Ni 0.000 0.500 0.000 1
Ni3 Ni 0.500 0.000 0.000 1
Sb1 Sb 0.500 0.500 0.500 1
# Energy above the most stable polymorph in this dataset, meV per atom: 0
# Formation energy (no corrections), eV/atom: 0.732
# Theoretical density, Mg/m³: 7.4
# Symmetry: No. 221
# E_tot, eV per atom: -4.98

---

Number 1: magnetic moment 4.2 μB/f.u.. Number 2: magnetic moment 0.0 μB/f.u.. Number 3: magnetic moment 4.4 μB/f.u.. Number 4: magnetic moment 0.0 μB/f.u.. Number 5: magnetic moment 0.0 μB/f.u.. Number 6: magnetic moment 0.0 μB/f.u.. Number 7: magnetic moment 6.6 μB/f.u.. Number 8: magnetic moment 0.9 μB/f.u.. Number 9: magnetic moment 0.0 μB/f.u.. Number 10: magnetic moment 3.6 μB/f.u..